ZrFe3Ge: relaxed, PBE.

Geometry as extended XYZ:
```
10
Lattice="5.019 0.000 0.000 0.000 6.914 0.000 -2.510 -3.457 4.603" Properties=species:S:1:pos:R:3 pbc="T T T"
Fe 0.000 3.391 2.302
Fe 1.255 -1.728 3.479
Fe 1.255 5.185 1.124
Fe 3.764 5.185 1.124
Fe 2.510 0.066 2.302
Fe -1.255 -1.728 3.479
Ge 2.510 0.000 0.000
Ge 0.000 3.457 0.000
Zr 2.510 2.787 2.302
Zr 0.000 0.669 2.302
```

Computed properties:
- SG = Imma, No. 74
- formation energy (meV/atom) = 138
- calculated density (g cm⁻³) = 6.891
- crystal system = orthorhombic
- size of the total moment (μB/f.u.) = 4.4
- V (Å³ per cell) = 160
- raw total energy (eV/atom) = -7.5728
- DOS at the Fermi energy (states/eV per cell) = 9.58


ZrFe2Ge2: relaxed, PBE.

Geometry as extended XYZ:
```
10
Lattice="-1.421 -4.140 2.640 2.235 1.120 -7.050 4.394 1.836 5.245" Properties=species:S:1:pos:R:3 pbc="T T T"
Ge 4.130 -0.260 4.261
Ge 1.078 -0.924 -3.426
Ge 2.228 0.718 -0.178
Ge 2.980 -1.902 1.013
Fe 2.105 -1.506 -1.243
Fe 2.388 -1.749 3.390
Fe 3.103 0.322 2.079
Fe 2.821 0.565 -2.555
Zr 2.575 0.376 -5.559
Zr 2.634 -1.560 6.394
```

Computed properties:
- SG = C2/c, No. 15
- formation energy (meV/atom) = -326
- calculated density (g cm⁻³) = 7.820
- crystal system = monoclinic
- size of the total moment (μB/f.u.) = 3.0
- V (Å³ per cell) = 148
- raw total energy (eV/atom) = -7.2675
- DOS at the Fermi energy (states/eV per cell) = 7.76


ZrFe3Ge3: relaxed, PBE.

Geometry as extended XYZ:
```
14
Lattice="4.254 0.000 0.000 0.000 7.913 0.000 0.000 -3.956 6.853" Properties=species:S:1:pos:R:3 pbc="T T T"
Ge 1.064 -1.083 2.076
Ge 3.191 5.574 0.099
Ge 3.191 1.256 1.976
Ge 3.191 5.040 4.777
Ge 1.064 -1.617 6.753
Ge 1.064 2.701 4.877
Zr 3.191 0.000 4.569
Zr 1.064 3.957 2.284
Fe 1.064 -1.745 4.392
Fe 1.064 0.720 6.168
Fe 3.191 2.931 3.708
Fe 3.191 5.702 2.461
Fe 3.191 3.237 0.685
Fe 1.064 1.025 3.145
```

Computed properties:
- SG = P6_3/m, No. 176
- formation energy (meV/atom) = 36
- calculated density (g cm⁻³) = 6.862
- crystal system = hexagonal
- ΔE to the lowest computed polymorph (meV/atom) = 0
- size of the total moment (μB/f.u.) = 4.6
- V (Å³ per cell) = 231
- raw total energy (eV/atom) = -6.7910
- DOS at the Fermi energy (states/eV per cell) = 8.12


Zr2Fe2Ge: relaxed, PBE.

Geometry as extended XYZ:
```
10
Lattice="-1.905 5.462 2.171 0.221 -2.215 5.765 4.016 1.268 0.333" Properties=species:S:1:pos:R:3 pbc="T T T"
Zr 1.804 0.134 4.531
Zr 0.879 2.585 6.346
Zr 0.528 4.383 3.738
Zr 1.453 1.932 1.923
Ge 0.000 0.000 0.000
Ge -0.842 1.624 3.968
Fe -1.537 3.423 5.490
Fe -1.157 3.125 2.049
Fe -0.148 -0.175 2.446
Fe -0.527 0.122 5.887
```

Computed properties:
- SG = P4/mbm, No. 127
- formation energy (meV/atom) = -256
- calculated density (g cm⁻³) = 7.551
- crystal system = tetragonal
- size of the total moment (μB/f.u.) = 0.0
- V (Å³ per cell) = 161
- raw total energy (eV/atom) = -7.9836
- DOS at the Fermi energy (states/eV per cell) = 8.37


Zr2FeGe2: relaxed, PBE.

Geometry as extended XYZ:
```
10
Lattice="6.360 0.000 0.000 0.000 6.360 0.000 0.000 0.000 4.220" Properties=species:S:1:pos:R:3 pbc="T T T"
Ge 4.084 0.904 0.000
Ge 5.457 4.084 0.000
Ge 2.277 5.457 0.000
Ge 0.904 2.277 0.000
Fe 3.180 3.180 0.000
Fe 0.000 0.000 0.000
Zr 1.097 4.277 2.110
Zr 2.083 1.097 2.110
Zr 5.263 2.083 2.110
Zr 4.277 5.263 2.110
```

Computed properties:
- SG = P4/mbm, No. 127
- formation energy (meV/atom) = -585
- calculated density (g cm⁻³) = 7.462
- crystal system = tetragonal
- size of the total moment (μB/f.u.) = 0.0
- V (Å³ per cell) = 171
- raw total energy (eV/atom) = -7.5437
- DOS at the Fermi energy (states/eV per cell) = 3.05


Fe3H: relaxed, PBE.

Geometry as extended XYZ:
```
8
Lattice="2.458 0.000 0.000 -1.229 4.215 0.000 0.000 0.000 7.275" Properties=species:S:1:pos:R:3 pbc="T T T"
Fe 0.000 3.295 5.456
Fe 1.229 3.145 3.072
Fe 0.000 1.070 6.710
Fe 1.229 3.145 0.565
Fe 0.000 1.070 4.203
Fe 1.229 0.920 1.819
H 1.229 1.857 5.456
H 0.000 2.358 1.819
```

Computed properties:
- SG = Cmcm, No. 63
- calculated density (g cm⁻³) = 7.426
- crystal system = orthorhombic
- ΔE to the lowest computed polymorph (meV/atom) = 0
- size of the total moment (μB/f.u.) = 7.4
- V (Å³ per cell) = 75
- raw total energy (eV/atom) = -7.0529
- DOS at the Fermi energy (states/eV per cell) = 6.31


FeH3: relaxed, PBE.

Geometry as extended XYZ:
```
4
Lattice="2.345 0.000 0.000 0.000 2.743 0.000 -1.172 -1.371 4.329" Properties=species:S:1:pos:R:3 pbc="T T T"
H 1.172 -0.229 1.205
H 0.000 1.142 3.124
H 1.172 1.143 0.000
Fe 0.000 2.515 0.000
```

Computed properties:
- SG = Immm, No. 71
- calculated density (g cm⁻³) = 3.511
- crystal system = orthorhombic
- size of the total moment (μB/f.u.) = 1.7
- V (Å³ per cell) = 28
- raw total energy (eV/atom) = -4.3377
- DOS at the Fermi energy (states/eV per cell) = 2.12


Fe13H2: relaxed, PBE.

Geometry as extended XYZ:
```
15
Lattice="4.617 -0.651 -0.766 -1.220 5.391 -0.910 -1.337 -3.241 7.589" Properties=species:S:1:pos:R:3 pbc="T T T"
Fe -0.204 1.643 4.940
Fe 2.393 -2.399 4.371
Fe 3.379 1.391 -0.464
Fe -0.332 3.897 1.542
Fe 1.785 0.317 3.807
Fe 2.265 -0.144 0.974
Fe 3.028 1.796 2.289
Fe -0.967 -0.298 3.625
Fe 0.562 -1.035 5.403
Fe 1.498 2.533 0.511
Fe -1.318 0.107 6.378
Fe 0.276 1.181 2.107
Fe 0.000 0.000 0.000
H -1.929 2.540 4.783
H 3.990 -1.041 1.131
```

Computed properties:
- SG = P-1, No. 2
- calculated density (g cm⁻³) = 7.559
- crystal system = triclinic
- size of the total moment (μB/f.u.) = 30.3
- V (Å³ per cell) = 160
- raw total energy (eV/atom) = -7.6270
- DOS at the Fermi energy (states/eV per cell) = 13.19